# 1
PuUSi4 (PBE, optimized geometry); ΔE_f (raw) = -174 kJ/mol of formula units; energy above the most stable polymorph in this dataset = 48 kJ/mol of formula units; raw total energy = -8.19 eV/atom
1.0
0.0000 3.6713 3.6713
3.6713 0.0000 3.6713
3.6713 3.6713 0.0000
Pu U Si
1 1 4
direct
0.0000 0.0000 0.0000
0.7500 0.7500 0.7500
0.3747 0.3747 0.3747
0.3747 0.3747 0.8759
0.3747 0.8759 0.3747
0.8759 0.3747 0.3747


# 2
PuU6Si2 (PBE, optimized geometry); ΔE_f (raw) = -201 kJ/mol of formula units; raw total energy = -10.55 eV/atom
1.0
6.2307 0.0000 0.0000
-3.1153 5.3959 0.0000
0.0000 0.0000 5.2514
Pu U Si
1 6 2
direct
0.0000 0.0000 0.0000
0.1836 0.3672 0.7333
0.1836 0.8164 0.7333
0.3672 0.1836 0.2667
0.6328 0.8164 0.7333
0.8164 0.1836 0.2667
0.8164 0.6328 0.2667
0.3333 0.6667 0.2529
0.6667 0.3333 0.7471


# 3
PuUSi (PBE, optimized geometry); ΔE_f (raw) = -67 kJ/mol of formula units; energy above the most stable polymorph in this dataset = 20 kJ/mol of formula units; raw total energy = -10.58 eV/atom
1.0
2.2154 -4.5905 0.0000
2.2154 4.5905 0.0000
0.0000 0.0000 5.8767
Pu U Si
2 2 2
direct
0.1593 0.8407 0.5000
0.8407 0.1593 0.0000
0.4567 0.5433 0.8088
0.5433 0.4567 0.3088
0.1490 0.8510 0.0054
0.8510 0.1490 0.5054


# 4
Pu2USi (PBE, optimized geometry); ΔE_f (raw) = -41 kJ/mol of formula units; energy above the most stable polymorph in this dataset = 15 kJ/mol of formula units; raw total energy = -11.45 eV/atom
1.0
3.6709 0.0000 0.0000
0.0000 3.6709 0.0000
0.0000 0.0000 6.0473
Pu U Si
2 1 1
direct
0.0000 0.0000 0.2364
0.0000 0.0000 0.7636
0.5000 0.5000 0.5000
0.5000 0.5000 0.0000


# 5
Pu5U3Si4 (PBE, optimized geometry); ΔE_f (raw) = -248 kJ/mol of formula units; raw total energy = -10.82 eV/atom
1.0
5.9586 0.0000 0.0000
0.0000 4.6637 0.0000
-2.7701 0.0000 8.5565
Pu U Si
5 3 4
direct
0.0000 0.0000 0.0000
0.0841 0.0000 0.2826
0.2613 0.0000 0.7113
0.6360 0.5000 0.8169
0.9074 0.5000 0.5344
0.4468 0.0000 0.0193
0.4653 0.5000 0.5048
0.8344 0.5000 0.2442
0.1714 0.5000 0.8765
0.2838 0.5000 0.1630
0.6390 0.0000 0.3693
0.7319 0.0000 0.6597


# 6
PuUSi (PBE, optimized geometry); ΔE_f (raw) = -32 kJ/mol of formula units; energy above the most stable polymorph in this dataset = 54 kJ/mol of formula units; raw total energy = -10.46 eV/atom
1.0
4.6379 0.0000 0.0000
-2.3190 4.0165 0.0000
0.0000 0.0000 3.0353
Pu U Si
1 1 1
direct
0.0000 0.0000 0.0000
0.3333 0.6667 0.7617
0.6667 0.3333 0.3312


# 7
Pu3USi2 (PBE, optimized geometry); ΔE_f (raw) = -71 kJ/mol of formula units; raw total energy = -10.98 eV/atom
1.0
6.3694 -4.1092 0.0000
6.3694 4.1092 0.0000
-0.5667 0.0000 4.8706
Pu U Si
6 2 4
direct
0.0966 0.9034 0.7500
0.1862 0.3920 0.6903
0.3920 0.1862 0.1903
0.6080 0.8138 0.8097
0.8138 0.6080 0.3097
0.9034 0.0966 0.2500
0.4092 0.5908 0.7500
0.5908 0.4092 0.2500
0.1644 0.6410 0.2150
0.3590 0.8356 0.2850
0.6410 0.1644 0.7150
0.8356 0.3590 0.7850


# 8
Pu2U5Si3 (PBE, optimized geometry); ΔE_f (raw) = -181 kJ/mol of formula units; raw total energy = -10.32 eV/atom
1.0
7.0686 0.0000 0.0000
1.0227 7.7040 0.0000
2.5793 3.4218 7.0950
Pu U Si
4 10 6
direct
0.1167 0.3662 0.1505
0.2598 0.4420 0.4792
0.7402 0.5580 0.5208
0.8833 0.6338 0.8495
0.0149 0.2989 0.8179
0.0626 0.8337 0.4965
0.2089 0.9189 0.7997
0.4430 0.7025 0.9933
0.4785 0.2068 0.6854
0.5215 0.7932 0.3146
0.5570 0.2975 0.0067
0.7911 0.0811 0.2003
0.9374 0.1663 0.5035
0.9851 0.7011 0.1821
0.2365 0.0223 0.0888
0.3295 0.5695 0.7403
0.3728 0.1145 0.4034
0.6272 0.8855 0.5966
0.6705 0.4305 0.2597
0.7635 0.9777 0.9112